[1]
Entry from Alexandria: a geometry-optimized Fe3SiH structure (PBE-GGA).

## Properties
uncorrected energy	-0.258	Ha/atom
crystal system	cubic
spin magnetization	5.09	μB/f.u.
Fermi-level density of states	4.9	states/eV/f.u.

```
Fe3SiH
1.0
3.598 0.000 0.000
0.000 3.598 0.000
0.000 0.000 3.598
Fe Si H
3 1 1
direct
0.000 0.000 0.500 Fe
0.000 0.500 0.000 Fe
0.500 0.000 0.000 Fe
0.500 0.500 0.500 Si
0.000 0.000 0.000 H
```

=====

[2]
Entry from Alexandria: a geometry-optimized FeSiH structure (PBE-GGA).

## Properties
uncorrected energy	-0.213	Ha/atom
crystal system	monoclinic
spin magnetization	0.00	μB/f.u.
Fermi-level density of states	1.0	states/eV/f.u.

```
FeSiH
1.0
2.400 -1.389 0.000
2.400 1.389 0.000
-1.603 0.000 4.037
Fe Si H
1 1 1
direct
0.000 0.000 0.000 Fe
0.194 0.194 0.582 Si
0.717 0.717 0.155 H
```